The following is a PBE calculation of crystalline HoScZn2Ga2 at its relaxed geometry, from OQMD.

Cell lengths 4.3456, 4.3456, 6.8657 Å; angles 90.00, 90.00, 120.00 degrees
Space group P-3m1 (No. 164)
Inequivalent atoms, fractional coordinates:
1 Ho 0.0000 0.0000 0.0000 x1
2 Sc 0.0000 0.0000 0.5000 x1
3 Zn 0.3333 0.6667 0.7259 x2
4 Ga 0.3333 0.6667 0.2667 x2

Summary:
Total DFT energy (no corrections) (Ha/atom): -0.1394
Total magnetization (μB per formula unit): 0.1